No. 1
Entry from Alexandria via LeMat-Bulk: a relaxed structure of Ca3CdCu (PBE-GGA).

Total magnetic moment, Bohr magnetons per cell: 0.00
Energy relative to the lowest polymorph listed for this composition, eV per atom: 0.174
ΔH_f (0 K), eV per atom: -0.021
Space-group type: Pm-3m, No. 221

```
Ca3CdCu
1.0
5.530 0.000 0.000
0.000 5.530 0.000
0.000 0.000 5.530
Ca Cd Cu
3 1 1
Cartesian
2.765 0.000 0.000 Ca
0.000 0.000 2.765 Ca
0.000 2.765 0.000 Ca
2.765 2.765 2.765 Cd
0.000 0.000 0.000 Cu
```


No. 2
Entry from Alexandria via LeMat-Bulk: a relaxed structure of CaCdCu2 (PBE-GGA).

Total magnetic moment, Bohr magnetons per cell: 0.00
ΔH_f (0 K), eV per atom: -0.093
Space-group type: R3m, No. 160

```
CaCdCu2
1.0
-3.604 -0.596 -2.350
-2.854 -3.072 1.134
-4.659 2.202 2.568
Cd Cu Ca
1 2 1
Cartesian
-8.625 -0.705 1.355 Cd
-2.367 -0.928 -0.150 Cu
-6.672 -3.375 -0.962 Cu
-5.468 -0.857 0.568 Ca
```


No. 3
Entry from Alexandria via LeMat-Bulk: a relaxed structure of CaCdCu2 (PBE-GGA).

Total magnetic moment, Bohr magnetons per cell: 0.00
ΔH_f (0 K), eV per atom: -0.046
Space-group type: P4mm, No. 99

```
CaCdCu2
1.0
3.335 0.000 0.000
0.000 3.336 0.000
0.000 0.000 6.909
Cu Ca Cd
2 1 1
Cartesian
0.000 0.000 0.266 Cu
1.668 1.668 1.311 Cu
0.000 0.000 3.234 Ca
1.668 1.668 5.552 Cd
```


No. 4
Entry from Alexandria via LeMat-Bulk: a relaxed structure of Ca6CdCu2 (PBE-GGA).

Total magnetic moment, Bohr magnetons per cell: 0.00
ΔH_f (0 K), eV per atom: -0.146
Space-group type: Immm, No. 71

```
Ca6CdCu2
1.0
8.383 -0.145 -3.097
-4.500 7.343 -2.392
-0.129 0.145 8.936
Cd Ca Cu
2 12 4
Cartesian
0.000 0.000 0.000 Cd
-2.315 3.744 3.272 Cd
-1.948 7.233 2.754 Ca
5.702 0.109 0.693 Ca
2.634 2.061 -0.495 Ca
5.644 1.626 -2.713 Ca
-0.329 4.615 0.465 Ca
4.082 2.728 2.982 Ca
1.120 5.281 3.942 Ca
3.204 5.572 0.736 Ca
0.550 1.771 2.711 Ca
4.293 5.137 -2.840 Ca
-1.890 5.717 6.159 Ca
-0.539 2.206 6.287 Ca
5.206 0.000 3.683 Cu
2.341 2.888 5.444 Cu
1.413 4.454 -1.997 Cu
3.047 0.000 2.155 Cu
```


No. 5
Entry from Alexandria via LeMat-Bulk: a relaxed structure of Ca4CdCu3 (PBE-GGA).

Total magnetic moment, Bohr magnetons per cell: 0.00
ΔH_f (0 K), eV per atom: -0.168
Space-group type: Pmm2, No. 25

```
Ca4CdCu3
1.0
4.210 0.000 0.000
0.000 4.301 0.000
0.000 0.000 11.325
Cu Ca Cd
3 4 1
Cartesian
0.000 0.000 5.031 Cu
2.105 0.000 10.424 Cu
0.000 2.151 6.334 Cu
2.105 2.151 4.182 Ca
2.105 0.000 7.227 Ca
0.000 0.000 1.769 Ca
0.000 2.151 9.568 Ca
2.105 2.151 0.764 Cd
```


No. 6
Entry from Alexandria via LeMat-Bulk: a relaxed structure of CaCd2Cu2 (PBE-GGA).

Total magnetic moment, Bohr magnetons per cell: 0.00
Energy relative to the lowest polymorph listed for this composition, eV per atom: 0.116
ΔH_f (0 K), eV per atom: 0.003
Space-group type: P4/mbm, No. 127

```
CaCd2Cu2
1.0
8.005 0.000 0.000
0.000 8.005 0.000
0.000 0.000 3.039
Cu Cd Ca
4 4 2
Cartesian
5.360 6.647 1.520 Cu
6.647 2.645 1.520 Cu
1.358 5.360 1.520 Cu
2.645 1.358 1.520 Cu
2.969 6.972 0.000 Cd
6.972 5.036 0.000 Cd
1.033 2.969 0.000 Cd
5.036 1.033 0.000 Cd
4.003 4.003 0.000 Ca
0.000 0.000 0.000 Ca
```


No. 7
Entry from Alexandria via LeMat-Bulk: a relaxed structure of CaCdCu2 (PBE-GGA).

Total magnetic moment, Bohr magnetons per cell: 0.00
ΔH_f (0 K), eV per atom: 0.030
Space-group type: I-4m2, No. 119

```
CaCdCu2
1.0
-0.591 3.158 -4.117
-4.799 2.059 -0.014
3.679 -0.302 3.693
Cu Ca Cd
2 1 1
Cartesian
-1.907 2.182 0.806 Cu
0.000 0.000 0.000 Cu
-2.695 2.608 -2.065 Ca
0.197 2.732 -1.245 Cd
```


No. 8
Entry from Alexandria via LeMat-Bulk: a relaxed structure of Ca2Cd2Cu (PBE-GGA).

Total magnetic moment, Bohr magnetons per cell: 0.00
Energy relative to the lowest polymorph listed for this composition, eV per atom: 0.173
ΔH_f (0 K), eV per atom: 0.052
Space-group type: I4/mmm, No. 139

```
Ca2Cd2Cu
1.0
-4.043 3.029 3.406
-4.400 -3.781 -1.861
-3.455 -2.759 3.801
Cd Ca Cu
2 2 1
Cartesian
-3.959 -1.192 1.810 Cd
-7.939 -2.319 3.537 Cd
-5.860 -0.053 3.990 Ca
-6.038 -3.458 1.357 Ca
0.000 0.000 0.000 Cu
```


No. 9
Entry from Alexandria via LeMat-Bulk: a relaxed structure of Ca3CdCu (PBE-GGA).

Total magnetic moment, Bohr magnetons per cell: 0.00
Energy relative to the lowest polymorph listed for this composition, eV per atom: 0.000
ΔH_f (0 K), eV per atom: -0.195
Space-group type: P2_1/m, No. 11

```
Ca3CdCu
1.0
-1.189 3.406 -2.499
-2.343 -5.213 -5.991
-6.649 1.653 5.417
Cd Ca Cu
2 6 2
Cartesian
-2.432 -0.618 -1.613 Cd
-7.749 0.465 -1.461 Cd
-2.564 2.602 -1.013 Ca
-2.423 -2.599 -4.316 Ca
-7.617 -2.756 -2.060 Ca
-4.990 0.029 0.487 Ca
-7.758 2.445 1.243 Ca
-5.190 -0.182 -3.560 Ca
-4.811 3.227 0.908 Cu
-5.369 -3.381 -3.981 Cu
```


No. 10
Entry from Alexandria via LeMat-Bulk: a relaxed structure of CaCd2Cu9 (PBE-GGA).

Total magnetic moment, Bohr magnetons per cell: 0.00
Energy relative to the lowest polymorph listed for this composition, eV per atom: 0.004
ΔH_f (0 K), eV per atom: -0.072
Space-group type: R-3m, No. 166

```
CaCd2Cu9
1.0
-2.902 -0.360 -4.182
-0.496 -4.485 -2.383
-7.485 -3.333 2.369
Cu Ca Cd
9 1 2
Cartesian
-5.442 -4.089 -2.098 Cu
-7.583 -5.328 -2.076 Cu
-4.765 -3.032 -4.229 Cu
-3.301 -2.850 -2.120 Cu
-2.270 -3.231 -4.373 Cu
-7.333 -3.066 -0.874 Cu
-3.552 -5.112 -3.322 Cu
-8.614 -4.947 0.178 Cu
-6.119 -5.147 0.034 Cu
0.000 0.000 0.000 Ca
-4.755 -2.595 0.410 Cd
-6.130 -5.584 -4.605 Cd
```


No. 11
Entry from Alexandria via LeMat-Bulk: a relaxed structure of CaCdCu2 (PBE-GGA).

Total magnetic moment, Bohr magnetons per cell: 0.00
ΔH_f (0 K), eV per atom: -0.011
Space-group type: P2/m, No. 10

```
CaCdCu2
1.0
3.280 0.000 0.000
0.000 3.585 0.022
0.000 3.575 6.590
Ca Cd Cu
1 1 2
Cartesian
1.640 1.790 1.653 Ca
1.640 5.370 4.960 Cd
0.000 3.578 6.305 Cu
0.000 3.577 3.592 Cu
```


No. 12
Entry from Alexandria via LeMat-Bulk: a relaxed structure of Ca2Cd2Cu (PBE-GGA).

Total magnetic moment, Bohr magnetons per cell: 0.00
Energy relative to the lowest polymorph listed for this composition, eV per atom: 0.000
ΔH_f (0 K), eV per atom: -0.121
Space-group type: P4/mbm, No. 127

```
Ca2Cd2Cu
1.0
7.331 0.000 0.000
0.000 7.331 0.000
0.000 0.000 4.916
Ca Cd Cu
4 4 2
Cartesian
4.936 6.061 2.458 Ca
1.270 4.936 2.458 Ca
6.061 2.395 2.458 Ca
2.395 1.270 2.458 Ca
4.693 1.027 0.000 Cd
1.027 2.638 0.000 Cd
2.638 6.304 0.000 Cd
6.304 4.693 0.000 Cd
0.000 0.000 0.000 Cu
3.666 3.666 0.000 Cu
```


No. 13
Entry from Alexandria via LeMat-Bulk: a relaxed structure of CaCd2Cu9 (PBE-GGA).

Total magnetic moment, Bohr magnetons per cell: 0.00
Energy relative to the lowest polymorph listed for this composition, eV per atom: 0.000
ΔH_f (0 K), eV per atom: -0.076
Space-group type: P4/mbm, No. 127

```
CaCd2Cu9
1.0
-3.799 7.510 -0.014
-5.939 -2.995 5.156
2.782 1.415 4.027
Cu Cd Ca
18 4 2
Cartesian
-4.643 4.319 4.913 Cu
-2.313 1.611 4.255 Cu
-2.499 4.065 3.521 Cu
-6.773 2.972 5.226 Cu
-0.077 0.574 3.075 Cu
-2.601 0.369 6.523 Cu
-5.363 3.688 7.265 Cu
-2.946 6.277 4.685 Cu
-0.183 2.958 3.943 Cu
-4.010 -0.348 4.483 Cu
-4.948 -0.548 6.834 Cu
-2.007 6.477 2.334 Cu
-6.879 5.356 6.094 Cu
-1.592 2.241 1.903 Cu
-4.355 5.561 2.646 Cu
-1.578 -0.790 4.591 Cu
-0.508 4.462 2.006 Cu
-4.457 1.864 5.647 Cu
-6.646 0.207 4.519 Cd
-2.707 -0.211 1.945 Cd
-7.030 4.726 3.197 Cd
-3.092 4.308 0.623 Cd
0.000 0.000 0.000 Ca
-4.869 2.257 2.571 Ca
```


No. 14
Entry from Alexandria via LeMat-Bulk: a relaxed structure of CaCd2Cu2 (PBE-GGA).

Total magnetic moment, Bohr magnetons per cell: 0.00
Energy relative to the lowest polymorph listed for this composition, eV per atom: 0.081
ΔH_f (0 K), eV per atom: -0.033
Space-group type: I4/mmm, No. 139

```
CaCd2Cu2
1.0
4.766 0.000 0.000
0.000 4.766 0.000
2.383 2.383 4.837
Ca Cu Cd
1 2 2
Cartesian
0.000 0.000 0.000 Ca
4.766 2.383 2.419 Cu
2.383 4.766 2.419 Cu
2.383 2.383 1.375 Cd
4.766 4.766 3.463 Cd
```


No. 15
Entry from Alexandria via LeMat-Bulk: a relaxed structure of Ca12CdCu6 (PBE-GGA).

Total magnetic moment, Bohr magnetons per cell: 0.00
ΔH_f (0 K), eV per atom: -0.110
Space-group type: Im-3, No. 204

```
Ca12CdCu6
1.0
8.449 0.000 -2.987
-4.225 7.317 -2.987
0.000 0.000 8.962
Cu Ca Cd
6 12 1
Cartesian
3.730 0.857 3.687 Cu
1.123 3.659 5.275 Cu
-1.618 4.516 2.288 Cu
0.495 6.461 -0.700 Cu
3.102 3.659 -2.288 Cu
5.842 2.802 0.700 Cu
2.178 6.461 -3.080 Ca
0.495 3.545 -0.699 Ca
0.908 5.973 2.288 Ca
5.627 2.201 -2.288 Ca
0.281 2.201 2.894 Ca
3.317 1.344 0.699 Ca
-1.402 5.117 5.275 Ca
2.047 0.857 6.068 Ca
3.730 3.773 3.687 Ca
3.943 5.117 0.093 Ca
-2.460 5.973 -0.093 Ca
6.684 1.344 3.080 Ca
0.000 0.000 0.000 Cd
```


No. 16
Entry from Alexandria via LeMat-Bulk: a relaxed structure of CaCd3Cu (PBE-GGA).

Total magnetic moment, Bohr magnetons per cell: 0.00
Energy relative to the lowest polymorph listed for this composition, eV per atom: 0.008
ΔH_f (0 K), eV per atom: -0.138
Space-group type: P6_3/mmc, No. 194

```
CaCd3Cu
1.0
5.540 0.000 0.000
0.000 6.936 0.000
0.000 -3.468 6.007
Cd Cu Ca
6 2 2
Cartesian
4.156 -1.508 4.876 Cd
1.385 1.960 1.131 Cd
4.156 0.000 2.263 Cd
1.385 4.976 1.131 Cd
1.385 3.468 3.744 Cd
4.156 1.508 4.875 Cd
0.000 0.000 0.000 Cu
2.770 0.000 0.000 Cu
4.155 3.468 2.003 Ca
1.386 -0.001 4.004 Ca
```


No. 17
Entry from Alexandria via LeMat-Bulk: a relaxed structure of CaCd3Cu8 (PBE-GGA).

Total magnetic moment, Bohr magnetons per cell: 0.00
Energy relative to the lowest polymorph listed for this composition, eV per atom: 0.005
ΔH_f (0 K), eV per atom: -0.055
Space-group type: P3m1, No. 156

```
CaCd3Cu8
1.0
5.113 0.000 0.000
-2.557 4.428 0.000
0.000 0.000 8.206
Ca Cd Cu
1 3 8
Cartesian
0.000 0.000 4.623 Ca
2.557 1.476 0.500 Cd
2.557 1.476 3.498 Cd
0.000 0.000 7.805 Cd
0.000 2.952 8.179 Cu
-1.280 3.691 2.020 Cu
0.000 2.952 4.102 Cu
1.296 2.204 6.191 Cu
2.557 0.020 6.191 Cu
0.000 1.474 2.020 Cu
3.817 2.204 6.191 Cu
1.280 3.691 2.020 Cu
```


No. 18
Entry from Alexandria via LeMat-Bulk: a relaxed structure of CaCd4Cu4 (PBE-GGA).

Total magnetic moment, Bohr magnetons per cell: 0.00
ΔH_f (0 K), eV per atom: 0.069
Space-group type: I4/m, No. 87

```
CaCd4Cu4
1.0
4.638 0.000 0.000
0.000 8.799 0.000
0.000 0.000 8.799
Ca Cd Cu
2 8 8
Cartesian
0.000 0.000 0.000 Ca
2.319 4.399 4.399 Ca
4.637 0.960 5.630 Cd
2.319 3.439 7.568 Cd
2.319 7.568 5.360 Cd
2.319 5.360 1.231 Cd
0.000 3.168 0.960 Cd
0.000 5.630 7.838 Cd
4.637 7.838 3.168 Cd
2.319 1.231 3.439 Cd
4.637 6.040 5.197 Cu
4.637 2.759 3.602 Cu
0.000 3.602 6.040 Cu
0.000 5.197 2.759 Cu
2.319 0.798 7.159 Cu
2.319 8.001 1.640 Cu
2.319 7.159 8.001 Cu
2.319 1.640 0.798 Cu
```


No. 19
Entry from Alexandria via LeMat-Bulk: a relaxed structure of CaEuCdCu (PBE-GGA).

Total magnetic moment, Bohr magnetons per cell: 7.25
ΔH_f (0 K), eV per atom: -0.166
Space-group type: F-43m, No. 216

```
CaEuCdCu
1.0
-2.451 -3.845 -2.737
2.418 -4.675 -0.764
-1.758 -4.345 2.512
Cd Ca Eu Cu
1 1 1 1
Cartesian
-1.343 -9.649 -0.741 Cd
-0.895 -6.432 -0.494 Ca
0.000 0.000 0.000 Eu
-0.448 -3.216 -0.247 Cu
```


No. 20
Entry from Alexandria via LeMat-Bulk: a relaxed structure of CaCdCu2F8 (PBE-GGA).

Total magnetic moment, Bohr magnetons per cell: 2.01
Formation energy without anion corrections, eV per atom: -2.24
Space-group type: I-4, No. 82

```
CaCdCu2F8
1.0
-3.548 -2.744 3.123
1.624 -4.695 -2.280
4.699 3.180 3.350
F Cu Cd Ca
8 2 1 1
Cartesian
1.995 -0.553 4.582 F
-0.582 -5.583 0.693 F
2.160 -4.345 0.104 F
4.575 -0.395 2.049 F
4.418 -2.600 -0.062 F
2.300 -0.758 0.478 F
-0.438 -1.986 1.064 F
1.845 -2.763 2.464 F
2.681 -2.617 0.746 Cu
-0.962 -3.719 0.422 Cu
0.000 0.000 0.000 Cd
0.094 -1.641 3.448 Ca
```


No. 21
Entry from Alexandria via LeMat-Bulk: a relaxed structure of Ca2CdGa2Cu5 (PBE-GGA).

Total magnetic moment, Bohr magnetons per cell: 0.00
ΔH_f (0 K), eV per atom: -0.090
Space-group type: P4/mbm, No. 127

```
Ca2CdGa2Cu5
1.0
3.550 0.000 0.000
0.000 10.054 0.000
0.000 0.000 10.054
Ga Cu Ca Cd
4 10 4 2
Cartesian
0.000 8.826 3.799 Ga
0.000 1.228 6.255 Ga
0.000 6.255 8.826 Ga
0.000 3.799 1.228 Ga
1.775 0.000 5.027 Cu
1.775 2.954 5.594 Cu
1.775 5.027 0.000 Cu
1.775 9.488 2.073 Cu
1.775 2.073 0.567 Cu
1.775 5.594 7.101 Cu
1.775 0.567 7.981 Cu
1.775 7.981 9.488 Cu
1.775 7.101 4.461 Cu
1.775 4.461 2.954 Cu
0.000 6.806 1.779 Ca
0.000 3.248 8.275 Ca
0.000 1.779 3.248 Ca
0.000 8.275 6.806 Ca
0.000 5.027 5.027 Cd
0.000 0.000 0.000 Cd
```


No. 22
Entry from Alexandria via LeMat-Bulk: a relaxed structure of Ca2CdGa3Cu12 (PBE-GGA).

Total magnetic moment, Bohr magnetons per cell: 0.00
ΔH_f (0 K), eV per atom: 0.064
Space-group type: R-3m, No. 166

```
Ca2CdGa3Cu12
1.0
-5.593 1.810 -2.985
-3.819 -3.754 3.846
-1.266 4.852 4.281
Cu Ga Cd Ca
12 3 1 2
Cartesian
-3.726 0.885 4.367 Cu
-4.991 3.401 4.067 Cu
-7.900 -0.133 1.943 Cu
-6.148 -0.498 3.870 Cu
-5.687 -0.493 1.075 Cu
-4.072 -1.321 2.978 Cu
-4.530 3.406 1.272 Cu
-4.972 1.500 -0.485 Cu
-6.952 2.023 0.775 Cu
-6.606 4.230 2.164 Cu
-5.706 1.409 5.627 Cu
-2.778 3.041 3.199 Cu
-0.633 2.426 2.141 Ga
-1.910 -1.877 1.923 Ga
-2.797 0.905 -1.493 Ga
0.000 0.000 0.000 Cd
-7.530 2.051 3.626 Ca
-3.148 0.857 1.516 Ca
```